Compound: AcHf2RhO8
Source: Alexandria via LeMat-Bulk
Functional: PBE
Structure: optimized geometry

As for the total magnetic moment: 0.00 μB per formula unit. The value obtained for the volume is 13.804 Å³ per atom.

It has space group P2/m (No. 10), with a = 4.957 Å, b = 6.694 Å, c = 4.995 Å, α = 90.00°, β = 91.87° and γ = 90.00°. The asymmetric unit holds Ac at (0.000, 0.000, 0.000), Hf at (0.500, 0.255, 0.500), Rh at (0.000, 0.500, 0.000), O at (0.214, 0.296, 0.201), O at (0.287, 0.500, 0.703) and O at (0.320, 0.000, 0.657).

***

Compound: AcHf2RuO8
Source: Alexandria via LeMat-Bulk
Functional: PBE
Structure: optimized geometry

As for the total magnetic moment: 2.99 μB per formula unit. The value obtained for the volume is 13.846 Å³ per atom.

It has space group P2/m (No. 10), with a = 4.973 Å, b = 6.707 Å, c = 4.985 Å, α = 90.00°, β = 91.95° and γ = 90.00°. The asymmetric unit holds Ac at (0.000, 0.000, 0.000), Hf at (0.500, 0.257, 0.500), Ru at (0.000, 0.500, 0.000), O at (0.207, 0.298, 0.202), O at (0.292, 0.500, 0.705) and O at (0.328, 0.000, 0.663).

***

Compound: AcHfSb2O
Source: Alexandria via LeMat-Bulk
Functional: PBE
Structure: optimized geometry

As for the total magnetic moment: 0.00 μB per formula unit. The value obtained for the volume is 25.463 Å³ per atom.

It has space group P4/nmm (No. 129, origin choice 2), with a = 4.040 Å, b = 4.040 Å, c = 15.603 Å, α = 90.00°, β = 90.00° and γ = 90.00°. The asymmetric unit holds Ac at (0.250, 0.250, 0.087), Hf at (0.250, 0.250, 0.570), Sb at (0.250, 0.250, 0.379), Sb at (0.250, 0.250, 0.762) and O at (0.250, 0.750, 0.000).

***

Compound: AcHfSb2O8
Source: Alexandria via LeMat-Bulk
Functional: PBE
Structure: optimized geometry

As for the total magnetic moment: 0.00 μB per formula unit. The value obtained for the volume is 15.712 Å³ per atom.

It has space group I-4m2 (No. 119), with a = 7.402 Å, b = 7.402 Å, c = 6.882 Å, α = 90.00°, β = 90.00° and γ = 90.00°. The asymmetric unit holds Ac at (0.000, 0.000, 0.000), Hf at (0.000, 0.500, 0.750), Sb at (0.000, 0.000, 0.500), Sb at (0.000, 0.500, 0.250), O at (0.000, 0.212, 0.685) and O at (0.000, 0.328, 0.044).

***

Compound: AcHfSiO6
Source: Alexandria via LeMat-Bulk
Functional: PBE
Structure: optimized geometry

As for the total magnetic moment: 1.01 μB per formula unit. The value obtained for the volume is 13.817 Å³ per atom.

It has space group P312 (No. 149), with a = 5.2093 Å, b = 5.2093 Å, c = 5.2912 Å, α = 90.00°, β = 90.00° and γ = 120.00°. The asymmetric unit holds Ac at (0.0000, 0.0000, 0.0000), Hf at (0.3333, 0.6667, 0.5000), Si at (0.6667, 0.3333, 0.5000) and O at (0.3970, 0.0376, 0.6986).

***

Compound: AcHfSi2O8
Source: Alexandria via LeMat-Bulk
Functional: PBE
Structure: optimized geometry

As for the total magnetic moment: 0.00 μB per formula unit. The value obtained for the volume is 12.889 Å³ per atom.

It has space group I-4m2 (No. 119), with a = 7.023 Å, b = 7.023 Å, c = 6.271 Å, α = 90.00°, β = 90.00° and γ = 90.00°. The asymmetric unit holds Ac at (0.000, 0.000, 0.000), Hf at (0.000, 0.500, 0.250), Si at (0.000, 0.000, 0.500), Si at (0.000, 0.500, 0.750), O at (0.000, 0.193, 0.344) and O at (0.000, 0.336, 0.936).

***

| no. | uncorrected energy (eV per cell) |
| --- | --- |
| 1 | -100.99 |
| 2 | -104.18 |
| 3 | -68.69 |
| 4 | -174.65 |
| 5 | -75.43 |
| 6 | -197.67 |